[1]
First-principles (PBEsol) data for a relaxed Zr3Co4 crystal, as listed in Alexandria via LeMat-Bulk.

a = 11.5613 Å, b = 11.5613 Å, c = 5.2366 Å
α = 90.00°, β = 90.00°, γ = 120.00°
With the nearest neighbours (Å) after each atom.
Space group R-3 (No. 148, hexagonal axes)
One atom of each set of equivalent atoms:
1 Zr 0.0384 0.2153 0.2250 [18 per cell]  8 Co 2.55-2.73
2 Co 0.0000 0.0000 0.0000 [3 per cell]  6 Zr 2.58, 2 Co 2.62
3 Co 0.0000 0.0000 0.5000 [3 per cell]  2 Co 2.62, 6 Zr 2.71
4 Co 0.0465 0.2555 0.7137 [18 per cell]  6 Zr 2.55-2.73, 3 Co 2.74-2.79

size of the total moment: 0.000 μB per atom
calculated density: 8.373 g cm⁻³

[2]
First-principles (PBEsol) data for a relaxed UCu2Sn2 crystal, as listed in Alexandria via LeMat-Bulk.

a = 4.3296 Å, b = 4.3296 Å, c = 10.3859 Å
α = 90.00°, β = 90.00°, γ = 90.00°
With the nearest neighbours (Å) after each atom.
Space group P4/nmm (No. 129, origin choice 2)
One atom of each set of equivalent atoms:
1 U 0.2500 0.2500 0.2406 [2 per cell]  8 Sn 3.27-3.46, 8 Cu 3.31-3.32
2 Cu 0.2500 0.2500 0.6356 [2 per cell]  5 Sn 2.43-2.58
3 Cu 0.2500 0.7500 0.0000 [2 per cell]  4 Sn 2.55
4 Sn 0.2500 0.2500 0.8697 [2 per cell]  5 Cu 2.43-2.55
5 Sn 0.2500 0.7500 0.5000 [2 per cell]  4 Cu 2.58

size of the total moment: 0.500 μB per atom
calculated density: 10.278 g cm⁻³

[3]
First-principles (PBEsol) data for a relaxed Be2CdFeOs crystal, as listed in Alexandria via LeMat-Bulk.

a = 4.0366 Å, b = 4.0366 Å, c = 4.3552 Å
α = 90.00°, β = 90.00°, γ = 90.00°
With the nearest neighbours (Å) after each atom.
Space group P4/mmm (No. 123)
One atom of each set of equivalent atoms:
1 Be 0.0000 0.5000 0.0000 [2 per cell]  2 Fe 2.02
2 Cd 0.0000 0.0000 0.5000 [1 per cell]  4 Os 2.85, 8 Be 2.97
3 Fe 0.5000 0.5000 0.0000 [1 per cell]  4 Be 2.02, 2 Os 2.18
4 Os 0.5000 0.5000 0.5000 [1 per cell]  2 Fe 2.18

size of the total moment: 0.000 μB per atom
calculated density: 8.810 g cm⁻³

[4]
First-principles (PBEsol) data for a relaxed CaCrMo2 crystal, as listed in Alexandria via LeMat-Bulk.

a = 3.7853 Å, b = 3.7853 Å, c = 4.8047 Å
α = 90.00°, β = 90.00°, γ = 90.00°
With the nearest neighbours (Å) after each atom.
Space group P4/mmm (No. 123)
One atom of each set of equivalent atoms:
1 Ca 0.0000 0.0000 0.0000 [1 per cell]  4 Cr 2.68
2 Cr 0.5000 0.5000 0.0000 [1 per cell]  4 Ca 2.68
3 Mo 0.0000 0.5000 0.5000 [2 per cell]  4 Mo 2.68

energy relative to the lowest polymorph listed for this composition: 320 meV per atom
size of the total moment: 0.833 μB per atom
calculated density: 6.849 g cm⁻³

[5]
First-principles (PBEsol) data for a relaxed PmAs3 crystal, as listed in Alexandria via LeMat-Bulk.

a = 4.0914 Å, b = 4.0914 Å, c = 9.9465 Å
α = 90.00°, β = 90.00°, γ = 90.00°
With the nearest neighbours (Å) after each atom.
Space group I4/mmm (No. 139)
One atom of each set of equivalent atoms:
1 Pm 0.0000 0.0000 0.0000 [2 per cell]  12 As 2.89-3.22
2 As 0.0000 0.0000 0.5000 [2 per cell]  4 Pm 2.89, 8 As 3.22
3 As 0.0000 0.5000 0.2500 [4 per cell]  8 As 2.89-3.22, 4 Pm 3.22

energy relative to the lowest polymorph listed for this composition: 8 meV per atom
size of the total moment: 0.000 μB per atom
calculated density: 7.375 g cm⁻³

[6]
First-principles (PBEsol) data for a relaxed AlCo2P crystal, as listed in Alexandria via LeMat-Bulk.

a = 3.9260 Å, b = 3.9260 Å, c = 5.5924 Å
α = 90.00°, β = 90.00°, γ = 90.00°
With the nearest neighbours (Å) after each atom.
Space group I4/mmm (No. 139)
One atom of each set of equivalent atoms:
1 Al 0.0000 0.0000 0.0000 [2 per cell]  8 Co 2.41
2 Co 0.0000 0.5000 0.2500 [4 per cell]  4 Al 2.41, 4 P 2.41
3 P 0.0000 0.0000 0.5000 [2 per cell]  8 Co 2.41

energy relative to the lowest polymorph listed for this composition: 0 meV per atom
size of the total moment: 0.368 μB per atom
calculated density: 6.774 g cm⁻³

| no. | DFT formation energy (eV/atom) |
| --- | --- |
| 1 | -0.2966 |
| 2 | 0.0768 |
| 3 | 0.8544 |
| 4 | 0.9426 |
| 5 | -0.5795 |
| 6 | -0.3884 |